1.
Density functional theory data (PBE) for a geometry-optimized Er2GaNi structure.

The structure belongs to space group R-3m (No. 166, hexagonal axes); the cell edges are 3.6560, 3.6560 and 23.5850 Å and the angles 90.00°, 90.00° and 120.00°. The asymmetric unit holds Er at (0.0000, 0.0000, 0.2393), Ga at (0.0000, 0.0000, 0.0000) and Ni at (0.0000, 0.0000, 0.5000).

As for the crystal system: trigonal. As for the energy relative to the elements: -7.2 kcal/mol of atoms.



2.
Density functional theory data (PBE) for a geometry-optimized ErGaNi2 structure.

The structure belongs to space group P4/mmm (No. 123); the cell edges are 3.203, 3.203 and 6.077 Å and the angles 90.00°, 90.00° and 90.00°. The asymmetric unit holds Er at (0.000, 0.000, 0.000), Ga at (0.000, 0.000, 0.500) and Ni at (0.500, 0.500, 0.293).

As for the crystal system: tetragonal. As for the energy relative to the elements: -8.8 kcal/mol of atoms.



3.
Density functional theory data (PBE) for a geometry-optimized ErGa2Ni6 structure.

The structure belongs to space group Fd-3m (No. 227, origin choice 2); the cell edges are 10.484, 10.484 and 10.484 Å and the angles 90.00°, 90.00° and 90.00°. The asymmetric unit holds Er at (0.125, 0.125, 0.125), Ga at (0.000, 0.000, 0.500) and Ni at (0.118, 0.375, 0.375).

As for the crystal system: cubic. As for the energy relative to the elements: 4.0 kcal/mol of atoms.



4.
Density functional theory data (PBE) for a geometry-optimized Er2GaNi structure.

The structure belongs to space group P4/mmm (No. 123); the cell edges are 3.396, 3.396 and 7.126 Å and the angles 90.00°, 90.00° and 90.00°. The asymmetric unit holds Er at (0.000, 0.000, 0.230), Ga at (0.500, 0.500, 0.500) and Ni at (0.500, 0.500, 0.000).

As for the crystal system: tetragonal. As for the energy relative to the elements: -11.8 kcal/mol of atoms.



5.
Density functional theory data (PBE) for a geometry-optimized Er3Ga2Ni2 structure.

The structure belongs to space group Pbcm (No. 57); the cell edges are 5.439, 7.829 and 12.889 Å and the angles 90.00°, 90.00° and 90.00°. The asymmetric unit holds Er at (0.141, 0.243, 0.250), Er at (0.348, 0.601, 0.100), Ga at (0.151, 0.250, 0.000), Ga at (0.356, 0.607, 0.750) and Ni at (0.128, 0.536, 0.590).

As for the crystal system: orthorhombic. As for the energy relative to the elements: -13.6 kcal/mol of atoms.



6.
Density functional theory data (PBE) for a geometry-optimized Er3Ga2Ni structure.

The structure belongs to space group Pnma (No. 62); the cell edges are 11.508, 4.264 and 10.875 Å and the angles 90.00°, 90.00° and 90.00°. The asymmetric unit holds Er at (0.050, 0.250, 0.130), Er at (0.119, 0.750, 0.563), Er at (0.225, 0.250, 0.805), Ga at (0.018, 0.750, 0.312), Ga at (0.192, 0.750, 0.006) and Ni at (0.123, 0.250, 0.380).

As for the crystal system: orthorhombic. As for the energy relative to the elements: -12.9 kcal/mol of atoms.



The highest energy relative to the elements belongs to which entry?
ErGa2Ni6